(A)
CaNbAg (PBE, optimized geometry); total magnetization = 0.00 Bohr magnetons per cell
1.0
-1.572 3.923 7.365
3.875 -4.075 2.997
3.781 3.009 -0.796
Ca Ag Nb
4 4 4
Direct
0.500 0.000 0.500
0.500 0.500 0.500
0.000 0.000 0.000
0.000 0.500 0.000
0.334 0.750 0.000
0.834 0.750 0.500
0.666 0.250 0.000
0.166 0.250 0.500
0.167 0.750 0.500
0.833 0.250 0.500
0.333 0.250 0.000
0.667 0.750 0.000

=====

(B)
CaNbAg (PBE, optimized geometry); total magnetization = 0.00 Bohr magnetons per cell
1.0
-3.173 0.304 7.215
-1.684 -5.456 -1.489
2.779 -4.476 -2.645
Nb Ag Ca
2 2 2
Direct
0.943 0.489 0.131
0.789 0.056 0.390
0.855 0.287 0.755
0.170 0.598 0.696
0.504 0.973 0.740
0.339 0.801 0.235

=====

(C)
CaNbAg (PBE, optimized geometry); total magnetization = 5.26 Bohr magnetons per cell
1.0
4.403 -2.542 0.000
0.000 5.084 0.000
0.000 0.000 6.047
Ca Ag Nb
2 2 2
Direct
0.667 0.333 0.750
0.333 0.667 0.250
0.000 0.000 0.500
0.000 0.000 0.000
0.667 0.333 0.250
0.333 0.667 0.750

=====

(D)
CaNbAg (PBE, optimized geometry); total magnetization = 0.00 Bohr magnetons per cell
1.0
-3.661 -6.384 4.339
1.143 -2.249 -2.345
7.997 -1.172 5.023
Ca Nb Ag
4 4 4
Direct
0.423 0.750 0.327
0.077 0.250 0.827
0.577 0.250 0.673
0.923 0.750 0.173
0.096 0.250 0.448
0.404 0.750 0.948
0.904 0.750 0.552
0.596 0.250 0.052
0.224 0.250 0.136
0.724 0.250 0.364
0.776 0.750 0.864
0.276 0.750 0.636

=====

Stability order, top to bottom: (D), (B), (A), (C)